The following is a DFT calculation (GGA-PBE) of crystalline LaDy2Y3Se6 at its relaxed geometry.

```
data_LaDy2Y3Se6
_symmetry_space_group_name_H-M 'C 1 2/m 1'
_symmetry_Int_Tables_number 12
_cell_length_a 7.1192
_cell_length_b 12.3923
_cell_length_c 7.1434
_cell_angle_alpha 90.00
_cell_angle_beta 109.54
_cell_angle_gamma 90.00
loop_
_symmetry_equiv_pos_as_xyz
'x,y,z'
'-x,-y,-z'
'-x,y,-z'
'x,-y,z'
'x+1/2,y+1/2,z'
'-x+1/2,-y+1/2,-z'
'-x+1/2,y+1/2,-z'
'x+1/2,-y+1/2,z'
loop_
_atom_site_label
_atom_site_fract_x
_atom_site_fract_y
_atom_site_fract_z
La1 0.0000 0.0000 0.0000
Dy1 0.0000 0.3331 0.0000
Y1 0.0000 0.1607 0.5000
Y2 0.0000 0.5000 0.5000
Se1 0.2389 0.5000 0.2511
Se2 0.2421 0.3277 0.7433
```

Computed properties:
- DFT total energy: -76.0 eV/f.u.

The following is a DFT calculation (GGA-PBE) of crystalline TcSb2TePt at its relaxed geometry.

```
data_TcSb2TePt
_symmetry_space_group_name_H-M 'P 4/m m m'
_symmetry_Int_Tables_number 123
_symmetry_space_group_name_Hall '-P 4 2'
_cell_length_a 5.1755
_cell_length_b 5.1755
_cell_length_c 5.4271
_cell_angle_alpha 90.00
_cell_angle_beta 90.00
_cell_angle_gamma 90.00
loop_
_atom_site_label
_atom_site_fract_x
_atom_site_fract_y
_atom_site_fract_z
Tc1 0.0000 0.0000 0.0000
Sb1 0.0000 0.5000 0.5000
Te1 0.5000 0.5000 0.0000
Pt1 0.5000 0.5000 0.5000
```

Computed properties:
- DFT total energy: -22.7 eV/f.u.

- Look up the DFT total energy of the first one.
  -76.0 eV/f.u.

- What is the DFT total energy in the first record?
  -76.0 eV/f.u.

- Which of these has the lowest DFT total energy?
  LaDy2Y3Se6

- Among the records above, which one has the highest DFT total energy?
  TcSb2TePt